Entry 1:
Below is an optimized crystal structure of Ca5HgAu4, with properties calculated at the PBE level.

The structure belongs to space group P4/mmm (No. 123); the cell edges are 3.6853, 3.6853 and 18.1891 Å and the angles 90.00°, 90.00° and 90.00°. The inequivalent atoms are Ca at (0.0000, 0.0000, 0.0000), Ca at (0.0000, 0.0000, 0.1958), Ca at (0.0000, 0.0000, 0.3918), Hg at (0.5000, 0.5000, 0.5000), Au at (0.5000, 0.5000, 0.0983) and Au at (0.5000, 0.5000, 0.2953).

The calculation puts the total moment at 0.00 μB per atom.

---

Entry 2:
Below is an optimized crystal structure of Ca2HgAu, with properties calculated at the PBE level.

The structure belongs to space group R3m (No. 160, hexagonal axes); the cell edges are 4.2046, 4.2046 and 23.3428 Å and the angles 90.00°, 90.00° and 120.00°. The inequivalent atoms are Ca at (0.0000, 0.0000, 0.0000), Ca at (0.0000, 0.0000, 0.1845), Hg at (0.0000, 0.0000, 0.4253) and Au at (0.0000, 0.0000, 0.5921).

The calculation puts the total moment at 0.00 μB per atom.

---

Entry 3:
Below is an optimized crystal structure of Ca3Hg2Au2, with properties calculated at the PBE level.

The structure belongs to space group P-1 (No. 2); the cell edges are 5.0542, 5.0585 and 9.7580 Å and the angles 75.04°, 75.03° and 60.03°. The inequivalent atoms are Ca at (0.0000, 0.0000, 0.0000), Ca at (0.2128, 0.2136, 0.3596), Hg at (0.3990, 0.3970, 0.8078) and Au at (0.1048, 0.1044, 0.6875).

The calculation puts the total moment at 0.00 μB per atom.

---

Entry 4:
Below is an optimized crystal structure of CaHgAu5, with properties calculated at the PBE level.

The structure belongs to space group Pnma (No. 62); the cell edges are 8.9496, 5.7934 and 11.4904 Å and the angles 90.00°, 90.00° and 90.00°. The inequivalent atoms are Ca at (0.2441, 0.2500, 0.0568), Hg at (0.1366, 0.7500, 0.8543), Au at (0.0608, 0.0112, 0.3121), Au at (0.0776, 0.7500, 0.0914), Au at (0.1094, 0.2500, 0.5236) and Au at (0.1838, 0.2500, 0.7723).

The calculation puts the total moment at 0.00 μB per atom.

---

Entry 5:
Below is an optimized crystal structure of Ca3HgAu4, with properties calculated at the PBE level.

The structure belongs to space group P4/mmm (No. 123); the cell edges are 5.0106, 5.0106 and 7.4115 Å and the angles 90.00°, 90.00° and 90.00°. The inequivalent atoms are Ca at (0.0000, 0.0000, 0.0000), Ca at (0.0000, 0.0000, 0.5000), Ca at (0.5000, 0.5000, 0.0000), Hg at (0.5000, 0.5000, 0.5000) and Au at (0.0000, 0.5000, 0.2452).

The calculation puts the total moment at 0.00 μB per atom.

---

Entry 6:
Below is an optimized crystal structure of Ca2Hg2Au15, with properties calculated at the PBE level.

The structure belongs to space group R-3m (No. 166, hexagonal axes); the cell edges are 9.8007, 9.8007 and 14.1761 Å and the angles 90.00°, 90.00° and 120.00°. The inequivalent atoms are Ca at (0.0000, 0.0000, 0.1489), Hg at (0.0000, 0.0000, 0.3965), Au at (0.0000, 0.3272, 0.5000), Au at (0.0000, 0.5000, 0.0000) and Au at (0.0087, 0.5043, 0.6622).

The calculation puts the total moment at 0.00 μB per atom.

---

Entry 7:
Below is an optimized crystal structure of Ca4Hg3Au4, with properties calculated at the PBE level.

The structure belongs to space group Immm (No. 71); the cell edges are 4.9502, 8.8749 and 13.6987 Å and the angles 90.00°, 90.00° and 90.00°. The inequivalent atoms are Ca at (0.0000, 0.0000, 0.2308), Ca at (0.0000, 0.2282, 0.5000), Hg at (0.0000, 0.0000, 0.0000), Hg at (0.0000, 0.5000, 0.1055) and Au at (0.0000, 0.3195, 0.2932).

The calculation puts the total moment at 0.00 μB per atom.

---

Entry 8:
Below is an optimized crystal structure of CaHg2Au, with properties calculated at the PBE level.

The structure belongs to space group C2/m (No. 12); the cell edges are 6.7538, 6.6987 and 9.1944 Å and the angles 90.00°, 111.32° and 90.00°. The inequivalent atoms are Ca at (0.1366, 0.0000, 0.2739), Hg at (0.1408, 0.5000, 0.2796), Hg at (0.2500, 0.2500, 0.0000) and Au at (0.0000, 0.2514, 0.5000).

The calculation puts the total moment at 0.00 μB per atom.

---

Entry 9:
Below is an optimized crystal structure of Ca3Hg3Au, with properties calculated at the PBE level.

The structure belongs to space group C2/m (No. 12); the cell edges are 11.4694, 4.0848 and 16.8207 Å and the angles 90.00°, 104.92° and 90.00°. The inequivalent atoms are Ca at (0.0077, 0.0000, 0.3806), Ca at (0.1133, 0.0000, 0.9254), Ca at (0.2250, 0.0000, 0.2322), Hg at (0.0045, 0.5000, 0.7746), Hg at (0.1133, 0.5000, 0.0766), Hg at (0.1457, 0.5000, 0.5307) and Au at (0.2119, 0.5000, 0.3653).

The calculation puts the total moment at 0.00 μB per atom.

---

Entry 10:
Below is an optimized crystal structure of CaHgAu, with properties calculated at the PBE level.

The structure belongs to space group P-1 (No. 2); the cell edges are 4.4973, 5.8815 and 6.6978 Å and the angles 112.50°, 90.21° and 90.01°. The inequivalent atoms are Ca at (0.2495, 0.2132, 0.4155), Hg at (0.2520, 0.1555, 0.9089) and Au at (0.2488, 0.6394, 0.2646).

The calculation puts the total moment at 0.00 μB per atom.

---

Entry 11:
Below is an optimized crystal structure of CaHg2Au, with properties calculated at the PBE level.

The structure belongs to space group C2/m (No. 12); the cell edges are 10.3630, 4.1930 and 4.9037 Å and the angles 90.00°, 116.80° and 90.00°. The inequivalent atoms are Ca at (0.0000, 0.0000, 0.0000), Hg at (0.2356, 0.0000, 0.7333) and Au at (0.0000, 0.5000, 0.5000).

The calculation puts the total moment at 0.00 μB per atom.

---

Entry 12:
Below is an optimized crystal structure of Ca2Hg4Au, with properties calculated at the PBE level.

The structure belongs to space group R-3m (No. 166, hexagonal axes); the cell edges are 5.2272, 5.2272 and 21.9931 Å and the angles 90.00°, 90.00° and 120.00°. The inequivalent atoms are Ca at (0.0000, 0.0000, 0.2212), Hg at (0.0000, 0.0000, 0.0719), Hg at (0.0000, 0.0000, 0.3663) and Au at (0.0000, 0.0000, 0.5000).

The calculation puts the total moment at 0.00 μB per atom.

---

Entry 13:
Below is an optimized crystal structure of CaHg2Au9, with properties calculated at the PBE level.

The structure belongs to space group R-3m (No. 166, hexagonal axes); the cell edges are 5.5865, 5.5865 and 28.0884 Å and the angles 90.00°, 90.00° and 120.00°. The inequivalent atoms are Ca at (0.0000, 0.0000, 0.0000), Hg at (0.0000, 0.0000, 0.1401), Au at (0.0000, 0.0000, 0.3330), Au at (0.0000, 0.0000, 0.5000) and Au at (0.0025, 0.5013, 0.9160).

The calculation puts the total moment at 0.00 μB per atom.

---

Entry 14:
Below is an optimized crystal structure of Ca3Hg2Au, with properties calculated at the PBE level.

The structure belongs to space group P4/mmm (No. 123); the cell edges are 3.7062, 3.7062 and 11.3996 Å and the angles 90.00°, 90.00° and 90.00°. The inequivalent atoms are Ca at (0.0000, 0.0000, 0.0000), Ca at (0.0000, 0.0000, 0.3435), Hg at (0.5000, 0.5000, 0.1702) and Au at (0.5000, 0.5000, 0.5000).

The calculation puts the total moment at 0.00 μB per atom.

---

Entry 15:
Below is an optimized crystal structure of CaHgAu, with properties calculated at the PBE level.

The structure belongs to space group F-43m (No. 216); the cell edges are 7.0348, 7.0348 and 7.0348 Å and the angles 90.00°, 90.00° and 90.00°. The inequivalent atoms are Ca at (0.0000, 0.0000, 0.0000), Hg at (0.2500, 0.2500, 0.2500) and Au at (0.2500, 0.2500, 0.7500).

The calculation puts the total moment at 0.00 μB per atom.

---

Entry 16:
Below is an optimized crystal structure of Ca7Hg2Au2, with properties calculated at the PBE level.

The structure belongs to space group Imm2 (No. 44); the cell edges are 4.1783, 16.3202 and 9.9331 Å and the angles 90.00°, 90.00° and 90.00°. The inequivalent atoms are Ca at (0.0000, 0.0000, 0.0000), Ca at (0.0000, 0.1175, 0.5858), Ca at (0.0000, 0.3151, 0.3803), Ca at (0.0000, 0.3581, 0.7517), Hg at (0.0000, 0.0000, 0.3251), Hg at (0.0000, 0.5000, 0.2544) and Au at (0.0000, 0.2408, 0.0857).

The calculation puts the total moment at 0.00 μB per atom.

---

Entry 17:
Below is an optimized crystal structure of Ca2Hg5Au3, with properties calculated at the PBE level.

The structure belongs to space group Cmc2_1 (No. 36); the cell edges are 4.5780, 27.3048 and 7.7976 Å and the angles 90.00°, 90.00° and 90.00°. The inequivalent atoms are Ca at (0.0000, 0.0235, 0.0000), Ca at (0.0000, 0.3179, 0.8757), Hg at (0.0000, 0.0981, 0.6162), Hg at (0.0000, 0.2029, 0.6625), Hg at (0.0000, 0.2057, 0.0722), Hg at (0.0000, 0.3787, 0.4659), Hg at (0.0000, 0.4444, 0.8385), Au at (0.0000, 0.1136, 0.2362), Au at (0.0000, 0.2695, 0.3665) and Au at (0.0000, 0.4587, 0.2218).

The calculation puts the total moment at 0.00 μB per atom.

---

Entry 18:
Below is an optimized crystal structure of Ca2HgAu, with properties calculated at the PBE level.

The structure belongs to space group Immm (No. 71); the cell edges are 3.6948, 6.2883 and 12.0197 Å and the angles 90.00°, 90.00° and 90.00°. The inequivalent atoms are Ca at (0.0000, 0.0000, 0.2333), Hg at (0.0000, 0.0000, 0.5000) and Au at (0.0000, 0.0000, 0.0000).

The calculation puts the total moment at 0.00 μB per atom.

---

Entry 19:
Below is an optimized crystal structure of Ca3HgAu8, with properties calculated at the PBE level.

The structure belongs to space group R3m (No. 160, hexagonal axes); the cell edges are 5.6929, 5.6929 and 27.6320 Å and the angles 90.00°, 90.00° and 120.00°. The inequivalent atoms are Ca at (0.0000, 0.0000, 0.0000), Ca at (0.0000, 0.0000, 0.1310), Ca at (0.0000, 0.0000, 0.6122), Hg at (0.0000, 0.0000, 0.4923), Au at (0.0000, 0.0000, 0.3103), Au at (0.0000, 0.0000, 0.8103), Au at (0.0037, 0.5018, 0.5618) and Au at (0.1683, 0.3366, 0.3921).

The calculation puts the total moment at 0.00 μB per atom.

---

Entry 20:
Below is an optimized crystal structure of Ca2Hg3Au2, with properties calculated at the PBE level.

The structure belongs to space group Cmmm (No. 65); the cell edges are 4.4188, 20.9261 and 3.7892 Å and the angles 90.00°, 90.00° and 90.00°. The inequivalent atoms are Ca at (0.0000, 0.1626, 0.0000), Hg at (0.0000, 0.0000, 0.0000), Hg at (0.0000, 0.4283, 0.5000) and Au at (0.0000, 0.2909, 0.5000).

The calculation puts the total moment at 0.00 μB per atom.

---

Number 1: energy of formation from the pure elements -0.737 eV/atom. Number 2: energy of formation from the pure elements -0.553 eV/atom. Number 3: energy of formation from the pure elements -0.551 eV/atom. Number 4: energy of formation from the pure elements -0.317 eV/atom. Number 5: energy of formation from the pure elements -0.656 eV/atom. Number 6: energy of formation from the pure elements -0.250 eV/atom. Number 7: energy of formation from the pure elements -0.480 eV/atom. Number 8: energy of formation from the pure elements -0.446 eV/atom. Number 9: energy of formation from the pure elements -0.550 eV/atom. Number 10: energy of formation from the pure elements -0.508 eV/atom. Number 11: energy of formation from the pure elements -0.421 eV/atom. Number 12: energy of formation from the pure elements -0.424 eV/atom. Number 13: energy of formation from the pure elements -0.176 eV/atom. Number 14: energy of formation from the pure elements -0.630 eV/atom. Number 15: energy of formation from the pure elements -0.352 eV/atom. Number 16: energy of formation from the pure elements -0.540 eV/atom. Number 17: energy of formation from the pure elements -0.375 eV/atom. Number 18: energy of formation from the pure elements 0.155 eV/atom. Number 19: energy of formation from the pure elements -0.516 eV/atom. Number 20: energy of formation from the pure elements -0.532 eV/atom.